Run i
# MnTe2Cl PBE-GGA optimized geometry
data_MnTe2Cl
_symmetry_space_group_name_H-M 'C m m 2'
_symmetry_Int_Tables_number 35
_symmetry_space_group_name_Hall 'C 2 -2'
_cell_length_a 3.958
_cell_length_b 5.030
_cell_length_c 11.403
_cell_angle_alpha 90.00
_cell_angle_beta 90.00
_cell_angle_gamma 90.00
loop_
_atom_site_label
_atom_site_type_symbol
_atom_site_fract_x
_atom_site_fract_y
_atom_site_fract_z
Mn1 Mn 0.000 0.000 0.000
Te1 Te 0.000 0.000 0.487
Te2 Te 0.000 0.500 0.817
Cl1 Cl 0.000 0.500 0.131
# Mass density   5.06 g cm⁻³


Run ii
# MnTe2Cl PBE-GGA optimized geometry
data_MnTe2Cl
_symmetry_space_group_name_H-M 'C 1 2/m 1'
_symmetry_Int_Tables_number 12
_symmetry_space_group_name_Hall '-C 2y'
_cell_length_a 6.213
_cell_length_b 8.311
_cell_length_c 5.050
_cell_angle_alpha 90.00
_cell_angle_beta 124.91
_cell_angle_gamma 90.00
loop_
_atom_site_label
_atom_site_type_symbol
_atom_site_fract_x
_atom_site_fract_y
_atom_site_fract_z
Mn1 Mn 0.000 0.000 0.000
Te1 Te 0.250 0.250 0.500
Cl1 Cl 0.000 0.500 0.000
# Mass density   5.37 g cm⁻³


Run iii
# MnTe2Cl PBE-GGA optimized geometry
data_MnTe2Cl
_symmetry_space_group_name_H-M 'R -3 m'
_symmetry_Int_Tables_number 166
_symmetry_space_group_name_Hall '-R 3 2"'
_cell_length_a 3.8598
_cell_length_b 3.8598
_cell_length_c 23.0483
_cell_angle_alpha 90.00
_cell_angle_beta 90.00
_cell_angle_gamma 120.00
loop_
_atom_site_label
_atom_site_type_symbol
_atom_site_fract_x
_atom_site_fract_y
_atom_site_fract_z
Mn1 Mn 0.0000 0.0000 0.0000
Te1 Te 0.0000 0.0000 0.2694
Cl1 Cl 0.0000 0.0000 0.5000
# Mass density   5.79 g cm⁻³


Run iv
# MnTe2Cl PBE-GGA optimized geometry
data_MnTe2Cl
_symmetry_space_group_name_H-M 'I 4/m m m'
_symmetry_Int_Tables_number 139
_symmetry_space_group_name_Hall '-I 4 2'
_cell_length_a 4.234
_cell_length_b 4.234
_cell_length_c 11.975
_cell_angle_alpha 90.00
_cell_angle_beta 90.00
_cell_angle_gamma 90.00
loop_
_atom_site_label
_atom_site_type_symbol
_atom_site_fract_x
_atom_site_fract_y
_atom_site_fract_z
Mn1 Mn 0.000 0.000 0.000
Te1 Te 0.000 0.500 0.250
Cl1 Cl 0.000 0.000 0.500
# Mass density   5.35 g cm⁻³


run iii takes first place; second place is 9.2 kJ/mol of atoms up.